# Ba6NaLi, relaxed, DFT PBE
# Excess energy over the best structure of this formula in the dataset (meV per atom): 113
# Mass density (g cm⁻³): 3.10
# Formation energy (eV/atom): 0.14
data_Ba6NaLi
_cell_length_a 8.3911
_cell_length_b 14.4970
_cell_length_c 8.3796
_cell_angle_alpha 90.00
_cell_angle_beta 116.01
_cell_angle_gamma 90.00
_space_group_name_H-M_alt 'C 1 2/m 1'
_space_group_IT_number 12
_space_group_name_Hall '-C 2y'
loop_
_atom_site_label
_atom_site_fract_x
_atom_site_fract_y
_atom_site_fract_z
Ba1 0.2423 0.0000 0.2592
Ba2 0.2438 0.2020 0.7463
Na1 0.0000 0.5000 0.0000
Li1 0.0000 0.0000 0.5000